#A
## Al2Ag3 (GGA-PBE)

Data for Al2Ag3 after structural relaxation.

## Properties
Symmetry: P-1

Cell lengths 2.9968, 7.6734, 3.8947 Å; angles 75.33, 90.21, 78.32 degrees
Closest atoms and distances in Å follow each position.
Element x y z (fractional)
Ag1 0.0056 0.9927 0.0039  5 Al 2.80-2.93, 7 Ag 2.85-3.00
Ag2 0.3944 0.2073 0.3961  5 Al 2.80-2.93, 7 Ag 2.85-3.00
Ag3 0.2000 0.6000 0.2000  4 Ag 2.85-3.00, 8 Al 2.85-2.88
Al1 0.8004 0.3970 0.8016  9 Ag 2.80-2.93, 3 Al 2.95-3.00
Al2 0.5996 0.8030 0.5984  9 Ag 2.80-2.93, 3 Al 2.95-3.00



#B
## Al2Ag3 (GGA-PBE)

Data for Al2Ag3 after structural relaxation.

## Properties
Symmetry: P2_1/m

Cell lengths 2.9155, 11.6025, 5.1466 Å; angles 81.31, 90.00, 90.00 degrees
Closest atoms and distances in Å follow each position.
Element x y z (fractional)
Ag1 0.0000 0.9868 0.0029  7 Al 2.75-2.99, 5 Ag 2.92-2.95
Ag2 0.5000 0.1969 0.0999  1 Al 2.78, 11 Ag 2.91-2.96
Ag3 0.0000 0.4031 0.2001  1 Al 2.78, 11 Ag 2.91-2.96
Ag4 0.5000 0.6132 0.2971  7 Al 2.75-2.99, 5 Ag 2.92-2.95
Ag5 0.0000 0.1934 0.6007  2 Al 2.78, 10 Ag 2.92-2.98
Ag6 0.5000 0.4066 0.6993  2 Al 2.78, 10 Ag 2.92-2.98
Al1 0.0000 0.8006 0.4091  3 Ag 2.75-2.77, 9 Al 2.85-3.04
Al2 0.5000 0.0027 0.4908  7 Ag 2.78-2.99, 5 Al 2.85-2.92
Al3 0.0000 0.5973 0.8092  7 Ag 2.78-2.99, 5 Al 2.85-2.92
Al4 0.5000 0.7994 0.8909  3 Ag 2.75-2.77, 9 Al 2.85-3.04



Name the least stable of them. #B.



#A
## Al2Ag3 (GGA-PBE)

Data for Al2Ag3 after structural relaxation.

## Properties
Symmetry: P1

Cell lengths 5.9205, 4.0498, 7.5240 Å; angles 105.21, 101.27, 90.17 degrees
Closest atoms and distances in Å follow each position.
Element x y z (fractional)
Ag1 0.0033 0.9979 0.0002  5 Al 2.80-2.89, 7 Ag 2.82-2.97
Ag2 0.0779 0.1992 0.3964  8 Al 2.82-3.04, 4 Ag 2.82-2.95
Ag3 0.2045 0.3997 0.7997  3 Al 2.80-2.85, 9 Ag 2.87-2.97
Ag4 0.4052 0.7939 0.5854  5 Al 2.75-2.96, 6 Ag 2.90-2.95
Ag5 0.5076 0.0107 0.0226  5 Al 2.73-2.81, 6 Ag 2.96-3.01
Ag6 0.7042 0.3969 0.7938  4 Al 2.75-2.86, 8 Ag 2.90-3.01
Al1 0.2942 0.5953 0.1931  8 Ag 2.79-2.96, 4 Al 2.91-2.99
Al2 0.5938 0.2045 0.4066  6 Ag 2.73-3.04, 6 Al 2.91-2.96
Al3 0.7990 0.5976 0.1956  7 Ag 2.78-2.89, 5 Al 2.92-2.99
Al4 0.9104 0.8043 0.6065  9 Ag 2.80-2.96, 3 Al 2.92-2.94



#B
## Al2Ag3 (GGA-PBE)

Data for Al2Ag3 after structural relaxation.

## Properties
Symmetry: Pm

Cell lengths 4.0872, 10.5183, 4.0182 Å; angles 99.79, 90.00, 90.00 degrees
Closest atoms and distances in Å follow each position.
Element x y z (fractional)
Ag1 0.0000 0.9989 0.0009  4 Al 2.85-2.91, 8 Ag 2.86-3.03
Ag2 0.5000 0.2023 0.0995  4 Al 2.86-2.87, 8 Ag 2.91-2.99
Ag3 0.0000 0.4024 0.1986  6 Al 2.84-2.94, 6 Ag 2.87-2.91
Ag4 0.0000 0.7837 0.3938  8 Al 2.72-2.87, 4 Ag 2.97-3.03
Ag5 0.5000 0.9958 0.4991  4 Al 2.80-2.93, 8 Ag 2.86-3.00
Ag6 0.5000 0.4117 0.7030  6 Al 2.78-3.01, 6 Ag 2.87-2.99
Al1 0.5000 0.6020 0.3013  6 Ag 2.78-2.91, 6 Al 2.86-2.93
Al2 0.0000 0.1981 0.5991  12 Ag 2.85-3.01
Al3 0.0000 0.6017 0.8020  6 Ag 2.72-2.92, 6 Al 2.86-2.92
Al4 0.5000 0.8033 0.9025  8 Ag 2.80-2.88, 4 Al 2.86-2.93



Name the least stable of them. #B.



#A
## Al5Ag4 (GGA-PBE)

Data for Al5Ag4 after structural relaxation.

## Properties
Symmetry: P6_3/mcm

Cell lengths 5.7596, 7.9276, 7.9276 Å; angles 120.00, 90.00, 90.00 degrees
Closest atoms and distances in Å follow each position.
Element x y z (fractional)
Al1 0.7500 0.6718 0.6718  5 Ag 2.63-2.88
Al2 0.7500 0.0000 0.3282  5 Ag 2.63-2.88
Al3 0.7500 0.3282 0.0000  5 Ag 2.63-2.88
Al4 0.2500 0.3282 0.3282  5 Ag 2.63-2.88
Al5 0.2500 0.0000 0.6718  5 Ag 2.63-2.88
Al6 0.2500 0.6718 0.0000  5 Ag 2.63-2.88
Al7 0.0000 0.6667 0.3333  8 Al 2.88-3.03, 6 Ag 2.99
Al8 0.5000 0.3333 0.6667  8 Al 2.88-3.03, 6 Ag 2.99
Al9 0.0000 0.3333 0.6667  8 Al 2.88-3.03, 6 Ag 2.99
Al10 0.5000 0.6667 0.3333  8 Al 2.88-3.03, 6 Ag 2.99
Ag1 0.0000 0.0000 0.0000  8 Ag 2.88-3.05, 6 Al 2.97
Ag2 0.5000 0.0000 0.0000  8 Ag 2.88-3.05, 6 Al 2.97
Ag3 0.7500 0.3396 0.3396  5 Al 2.63-2.88
Ag4 0.7500 0.0000 0.6604  5 Al 2.63-2.88
Ag5 0.7500 0.6604 0.0000  5 Al 2.63-2.88
Ag6 0.2500 0.6604 0.6604  5 Al 2.63-2.88
Ag7 0.2500 0.0000 0.3396  5 Al 2.63-2.88
Ag8 0.2500 0.3396 0.0000  5 Al 2.63-2.88



#B
## Al5Ag4 (GGA-PBE)

Data for Al5Ag4 after structural relaxation.

## Properties
Symmetry: I4/mmm

Cell lengths 2.8760, 7.5064, 7.5065 Å; angles 87.90, 78.96, 78.96 degrees
Closest atoms and distances in Å follow each position.
Element x y z (fractional)
Al1 0.0000 0.0000 0.0000  10 Al 2.85-2.88
Al2 0.6666 0.0000 0.6667  4 Ag 2.79, 6 Al 2.85-2.88
Al3 0.3334 0.0000 0.3333  4 Ag 2.79, 6 Al 2.85-2.88
Al4 0.6666 0.6667 0.0000  4 Ag 2.79, 6 Al 2.85-2.88
Al5 0.3334 0.3333 0.0000  4 Ag 2.79, 6 Al 2.85-2.88
Ag1 0.0000 0.6761 0.3239  4 Al 2.79, 6 Ag 2.88-2.97
Ag2 0.0000 0.3239 0.6761  4 Al 2.79, 6 Ag 2.88-2.97
Ag3 0.6761 0.3239 0.3239  4 Al 2.79, 6 Ag 2.88-2.97
Ag4 0.3239 0.6761 0.6761  4 Al 2.79, 6 Ag 2.88-2.97



#C
## Al5Ag4 (GGA-PBE)

Data for Al5Ag4 after structural relaxation.

## Properties
Symmetry: Cm

Cell lengths 3.9921, 8.5419, 5.1910 Å; angles 109.62, 112.61, 76.49 degrees
Closest atoms and distances in Å follow each position.
Element x y z (fractional)
Ag1 0.9980 0.9846 0.9806  7 Al 2.69-2.99, 4 Ag 2.94-2.95
Ag2 0.6671 0.1069 0.4411  5 Al 2.76-2.82, 7 Ag 2.93-3.03
Ag3 0.3386 0.2310 0.9082  5 Al 2.74-3.01, 7 Ag 2.91-3.00
Ag4 0.6647 0.4581 0.7875  8 Al 2.68-3.00, 3 Ag 2.91-2.93
Al1 0.0094 0.3255 0.3443  3 Al 2.80-2.93, 8 Ag 2.82-3.01
Al2 0.3367 0.5585 0.2319  4 Ag 2.74-3.00, 7 Al 2.76-2.93
Al3 0.9980 0.6639 0.6599  3 Ag 2.69-2.80, 7 Al 2.80-2.92
Al4 0.6628 0.7789 0.1044  4 Ag 2.68-2.79, 6 Al 2.86-2.88
Al5 0.3247 0.8926 0.5420  6 Al 2.76-3.09, 6 Ag 2.80-2.99



#D
## Al5Ag4 (GGA-PBE)

Data for Al5Ag4 after structural relaxation.

## Properties
Symmetry: P1

Cell lengths 4.9901, 5.0794, 7.5241 Å; angles 70.27, 108.73, 119.61 degrees
Closest atoms and distances in Å follow each position.
Element x y z (fractional)
Ag1 0.9996 0.9773 0.9986  9 Al 2.79-3.00, 3 Ag 2.90-2.94
Ag2 0.4390 0.2354 0.3309  7 Al 2.78-2.99, 5 Ag 2.88-2.94
Ag3 0.9006 0.4467 0.6707  9 Al 2.81-2.96, 3 Ag 2.90-2.94
Ag4 0.7669 0.8996 0.3347  7 Al 2.78-2.95, 5 Ag 2.88-2.94
Al1 0.3342 0.6571 0.0003  6 Ag 2.78-3.00, 6 Al 2.83-2.94
Al2 0.2302 0.1193 0.6660  6 Ag 2.80-2.96, 6 Al 2.86-2.93
Al3 0.6702 0.3237 0.9993  6 Ag 2.80-2.94, 6 Al 2.86-2.94
Al4 0.1035 0.5581 0.3339  8 Ag 2.79-2.99, 4 Al 2.87-2.90
Al5 0.5559 0.7828 0.6655  6 Ag 2.78-2.95, 6 Al 2.83-2.93



Name the least stable of them. #A.



#A
## Al5Ag4 (GGA-PBE)

Data for Al5Ag4 after structural relaxation.

## Properties
Symmetry: C2/m

Cell lengths 2.9904, 4.9125, 11.0609 Å; angles 91.23, 97.77, 107.72 degrees
Closest atoms and distances in Å follow each position.
Element x y z (fractional)
Ag1 0.9953 0.9968 0.9938  8 Al 2.75-2.92, 4 Ag 2.99
Ag2 0.6714 0.1143 0.2285  8 Al 2.75-2.92, 4 Ag 2.99
Ag3 0.0037 0.3328 0.6746  7 Al 2.72-2.89, 5 Ag 2.86-2.99
Ag4 0.6630 0.7783 0.5476  7 Al 2.72-2.89, 5 Ag 2.86-2.99
Al1 0.3396 0.2286 0.4506  7 Ag 2.72-2.89, 5 Al 2.86-2.99
Al2 0.6674 0.4444 0.8905  5 Ag 2.75-2.87, 7 Al 2.86-2.99
Al3 0.3333 0.5556 0.1111  6 Ag 2.84-2.92, 6 Al 2.86-2.99
Al4 0.9993 0.6668 0.3318  5 Ag 2.75-2.87, 7 Al 2.86-2.99
Al5 0.3271 0.8825 0.7717  7 Ag 2.72-2.89, 5 Al 2.86-2.99



#B
## Al5Ag4 (GGA-PBE)

Data for Al5Ag4 after structural relaxation.

## Properties
Symmetry: P-1

Cell lengths 5.0668, 5.0811, 7.4017 Å; angles 69.64, 109.15, 119.75 degrees
Closest atoms and distances in Å follow each position.
Element x y z (fractional)
Ag1 0.9868 0.9933 0.9896  7 Al 2.77-2.94, 5 Ag 2.90-3.02
Ag2 0.4587 0.2251 0.3408  7 Al 2.79-2.96, 5 Ag 2.90-3.02
Ag3 0.3191 0.6638 0.9925  7 Al 2.79-2.96, 5 Ag 2.90-3.02
Ag4 0.7910 0.8956 0.3437  7 Al 2.77-2.94, 5 Ag 2.90-3.02
Al1 0.8889 0.4444 0.6667  4 Ag 2.78-2.80, 8 Al 2.84-2.96
Al2 0.2238 0.1155 0.6656  4 Ag 2.77-2.80, 8 Al 2.84-2.96
Al3 0.6574 0.3213 0.0031  8 Ag 2.80-2.96, 4 Al 2.84-2.90
Al4 0.1204 0.5676 0.3302  8 Ag 2.80-2.96, 4 Al 2.84-2.90
Al5 0.5540 0.7734 0.6677  4 Ag 2.77-2.80, 8 Al 2.84-2.96



#C
## Al5Ag4 (GGA-PBE)

Data for Al5Ag4 after structural relaxation.

## Properties
Symmetry: I4/mmm

Cell lengths 6.4727, 6.4727, 6.4727 Å; angles 95.69, 95.69, 143.28 degrees
Closest atoms and distances in Å follow each position.
Element x y z (fractional)
Ag1 0.6775 0.0000 0.6775  7 Al 2.80-2.90, 5 Ag 2.99-3.08
Ag2 0.3225 0.0000 0.3225  7 Al 2.80-2.90, 5 Ag 2.99-3.08
Ag3 0.0000 0.3225 0.3225  7 Al 2.80-2.90, 5 Ag 2.99-3.08
Ag4 0.0000 0.6775 0.6775  7 Al 2.80-2.90, 5 Ag 2.99-3.08
Al1 0.0000 0.0000 0.0000  4 Ag 2.80, 8 Al 2.89
Al2 0.6669 0.3331 0.0000  6 Ag 2.84-2.90, 6 Al 2.88-2.90
Al3 0.3331 0.6669 0.0000  6 Ag 2.84-2.90, 6 Al 2.88-2.90
Al4 0.3331 0.3331 0.6661  6 Ag 2.84-2.90, 6 Al 2.88-2.90
Al5 0.6669 0.6669 0.3339  6 Ag 2.84-2.90, 6 Al 2.88-2.90



Name the least stable of them. #C.



#A
## AlAg8 (GGA-PBE)

Data for AlAg8 after structural relaxation.

## Properties
Symmetry: I4/mmm

Cell lengths 6.4858, 6.4858, 6.4858 Å; angles 96.04, 96.04, 142.14 degrees
Closest atoms and distances in Å follow each position.
Element x y z (fractional)
Ag1 0.3358 0.6642 0.0000  10 Ag 2.85-2.98, 2 Al 2.91
Ag2 0.6642 0.3358 0.0000  10 Ag 2.85-2.98, 2 Al 2.91
Ag3 0.0000 0.3300 0.3300  1 Al 2.86, 11 Ag 2.91-2.96
Ag4 0.6642 0.6642 0.3283  10 Ag 2.85-2.98, 2 Al 2.91
Ag5 0.3300 0.0000 0.3300  1 Al 2.86, 11 Ag 2.91-2.96
Ag6 0.3358 0.3358 0.6717  10 Ag 2.85-2.98, 2 Al 2.91
Ag7 0.0000 0.6700 0.6700  1 Al 2.86, 11 Ag 2.91-2.96
Ag8 0.6700 0.0000 0.6700  1 Al 2.86, 11 Ag 2.91-2.96
Al1 0.0000 0.0000 0.0000  12 Ag 2.86-2.91



#B
## AlAg8 (GGA-PBE)

Data for AlAg8 after structural relaxation.

## Properties
Symmetry: I4/mmm

Cell lengths 3.4127, 7.0401, 7.0401 Å; angles 86.63, 75.97, 75.97 degrees
Closest atoms and distances in Å follow each position.
Element x y z (fractional)
Al1 0.0000 0.0000 0.0000  8 Ag 2.78
Ag1 0.6608 0.0000 0.6783  2 Al 2.78, 8 Ag 2.85-3.11
Ag2 0.3392 0.0000 0.3217  2 Al 2.78, 8 Ag 2.85-3.11
Ag3 0.3339 0.6661 0.6661  8 Ag 2.84-2.85
Ag4 0.6608 0.6783 0.0000  2 Al 2.78, 8 Ag 2.85-3.11
Ag5 0.0000 0.6661 0.3339  8 Ag 2.84-2.85
Ag6 0.3392 0.3217 0.0000  2 Al 2.78, 8 Ag 2.85-3.11
Ag7 0.6661 0.3339 0.3339  8 Ag 2.84-2.85
Ag8 0.0000 0.3339 0.6661  8 Ag 2.84-2.85



Name the least stable of them. #B.